VASP calculation (PBE+U) on a geometry-optimized ZrCrN2O structure.

Summary:
**Total DFT energy (no corrections)**: -8.093 eV/atom
**Size of the total moment**: 2.02 μB/cell

Cell lengths 3.7785, 3.7785, 3.7464 Å; angles 90.00, 90.00, 90.00 degrees
Last column: magnetic moment on the atom in μB.
Fractional coordinates of all 5 atoms:
Cr: 0.0000 0.0000 0.0000  2.16
O: 0.0000 0.0000 0.5000  0.01
N: 0.5000 0.0000 0.0000  -0.18
N: 0.0000 0.5000 0.0000  -0.18
Zr: 0.5000 0.5000 0.5000  0.19